Entry 1:
Here is a geometry-optimized Cd3TeS structure from Alexandria. Energies are from GGA-PBE.

Total magnetization: 0.00 Bohr magnetons per cell
Uncorrected energy: -9.84 eV for the cell shown
Relative energy among the computed polymorphs: 0.0000 eV/atom
Crystal system: cubic
Raw formation energy: 0.18 eV per formula unit

a b c (Å): 5.193 5.193 5.193
angles (deg): 90.00 90.00 90.00
Space group Pm-3m (No. 221)
Unique sites:
Cd  0.000  0.000  0.500
Te  0.500  0.500  0.500
S  0.000  0.000  0.000

***

Entry 2:
Here is a geometry-optimized Cd3TeS2 structure from Alexandria. Energies are from GGA-PBE.

Total magnetization: 0.00 Bohr magnetons per cell
Uncorrected energy: -279.68 eV for the cell shown
Crystal system: orthorhombic
Raw formation energy: -3.34 eV per formula unit

a b c (Å): 8.701 26.124 12.260
angles (deg): 90.00 90.00 90.00
Space group Fdd2 (No. 43)
Unique sites:
Cd  0.001  0.258  0.000
Cd  0.017  0.082  0.484
Cd  0.018  0.422  0.491
Te  0.002  0.170  0.868
S  0.000  0.000  0.365
S  0.000  0.000  0.865
S  0.001  0.335  0.867

***

Entry 3:
Here is a geometry-optimized Cd5Te4S structure from Alexandria. Energies are from GGA-PBE.

Total magnetization: 0.00 Bohr magnetons per cell
Uncorrected energy: -77.73 eV for the cell shown
Crystal system: trigonal
Raw formation energy: -4.64 eV per formula unit

a b c (Å): 4.5835 4.5835 56.0787
angles (deg): 90.00 90.00 120.00
Space group R3m (No. 160, hexagonal axes)
Unique sites:
Cd  0.0000  0.0000  0.0000
Cd  0.0000  0.0000  0.1952
Cd  0.0000  0.0000  0.3903
Cd  0.0000  0.0000  0.5976
Cd  0.0000  0.0000  0.7928
Te  0.0000  0.0000  0.2460
Te  0.0000  0.0000  0.4413
Te  0.0000  0.0000  0.6484
Te  0.0000  0.0000  0.8436
S  0.0000  0.0000  0.0458

***

Entry 4:
Here is a geometry-optimized CdTeS structure from Alexandria. Energies are from GGA-PBE.

Total magnetization: 0.00 Bohr magnetons per cell
Uncorrected energy: -8.61 eV for the cell shown
Relative energy among the computed polymorphs: 0.0516 eV/atom
Crystal system: triclinic
Raw formation energy: -0.43 eV per formula unit

a b c (Å): 4.159 4.353 5.688
angles (deg): 109.81 90.11 118.50
Space group P1 (No. 1)
Unique sites:
Cd  0.000  0.000  0.000
Te  0.383  0.767  0.343
S  0.316  0.632  0.741

***

Entry 5:
Here is a geometry-optimized Cd3TeS structure from Alexandria. Energies are from GGA-PBE.

Total magnetization: 0.00 Bohr magnetons per cell
Uncorrected energy: -7.76 eV for the cell shown
Relative energy among the computed polymorphs: 0.4152 eV/atom
Crystal system: cubic
Raw formation energy: 2.25 eV per formula unit

a b c (Å): 5.586 5.586 5.586
angles (deg): 90.00 90.00 90.00
Space group Pm-3m (No. 221)
Unique sites:
Cd  0.000  0.000  0.500
Te  0.000  0.000  0.000
S  0.500  0.500  0.500

***

Entry 6:
Here is a geometry-optimized Cd5TeS4 structure from Alexandria. Energies are from GGA-PBE.

Total magnetization: 0.00 Bohr magnetons per cell
Uncorrected energy: -59.94 eV for the cell shown
Relative energy among the computed polymorphs: 0.0080 eV/atom
Crystal system: trigonal
Raw formation energy: -5.74 eV per formula unit

a b c (Å): 4.2857 4.2857 35.0508
angles (deg): 90.00 90.00 120.00
Space group P3m1 (No. 156)
Unique sites:
Cd  0.0000  0.0000  0.0000
Cd  0.0000  0.0000  0.1909
Cd  0.0000  0.0000  0.3823
Cd  0.0000  0.0000  0.5737
Cd  0.0000  0.0000  0.7873
Cd  0.6667  0.3333  0.0952
Cd  0.6667  0.3333  0.2866
Cd  0.6667  0.3333  0.4781
Cd  0.6667  0.3333  0.6695
Cd  0.6667  0.3333  0.8827
Te  0.6667  0.3333  0.7512
Te  0.6667  0.3333  0.9641
S  0.0000  0.0000  0.0728
S  0.0000  0.0000  0.2644
S  0.0000  0.0000  0.4559
S  0.0000  0.0000  0.6473
S  0.0000  0.0000  0.8601
S  0.6667  0.3333  0.1686
S  0.6667  0.3333  0.3601
S  0.6667  0.3333  0.5516

***

Entry 7:
Here is a geometry-optimized Cd2TeS structure from Alexandria. Energies are from GGA-PBE.

Total magnetization: 0.00 Bohr magnetons per cell
Uncorrected energy: -44.87 eV for the cell shown
Relative energy among the computed polymorphs: 0.0000 eV/atom
Crystal system: tetragonal
Raw formation energy: -2.12 eV per formula unit

a b c (Å): 6.273 6.273 12.469
angles (deg): 90.00 90.00 90.00
Space group I-42d (No. 122)
Unique sites:
Cd  0.215  0.250  0.125
Te  0.000  0.000  0.500
S  0.000  0.000  0.000

***

Entry 8:
Here is a geometry-optimized Cd4TeS3 structure from Alexandria. Energies are from GGA-PBE.

Total magnetization: 0.00 Bohr magnetons per cell
Uncorrected energy: -70.96 eV for the cell shown
Crystal system: trigonal
Raw formation energy: -4.47 eV per formula unit

a b c (Å): 4.3035 4.3035 42.3868
angles (deg): 90.00 90.00 120.00
Space group R3m (No. 160, hexagonal axes)
Unique sites:
Cd  0.0000  0.0000  0.0000
Cd  0.0000  0.0000  0.2367
Cd  0.0000  0.0000  0.4908
Cd  0.0000  0.0000  0.7452
Te  0.0000  0.0000  0.3040
S  0.0000  0.0000  0.0601
S  0.0000  0.0000  0.5515
S  0.0000  0.0000  0.8058

***

Entry 9:
Here is a geometry-optimized Cd3Te2S structure from Alexandria. Energies are from GGA-PBE.

Total magnetization: 0.00 Bohr magnetons per cell
Uncorrected energy: -16.03 eV for the cell shown
Crystal system: trigonal
Raw formation energy: -2.87 eV per formula unit

a b c (Å): 4.5134 4.5134 11.0802
angles (deg): 90.00 90.00 120.00
Space group P3m1 (No. 156)
Unique sites:
Cd  0.0000  0.0000  0.0000
Cd  0.3333  0.6667  0.6453
Cd  0.6667  0.3333  0.2916
Te  0.0000  0.0000  0.7421
Te  0.3333  0.6667  0.3890
S  0.6667  0.3333  0.0602

***

Entry 10:
Here is a geometry-optimized CdTe2S structure from Alexandria. Energies are from GGA-PBE.

Total magnetization: 0.00 Bohr magnetons per cell
Uncorrected energy: -29.84 eV for the cell shown
Relative energy among the computed polymorphs: 0.2349 eV/atom
Crystal system: trigonal
Raw formation energy: 1.38 eV per formula unit

a b c (Å): 3.4936 3.4936 30.2274
angles (deg): 90.00 90.00 120.00
Space group R-3m (No. 166, hexagonal axes)
Unique sites:
Cd  0.0000  0.0000  0.0000
Te  0.0000  0.0000  0.0993
S  0.0000  0.0000  0.5000

***

Entry 11:
Here is a geometry-optimized CdTe2S structure from Alexandria. Energies are from GGA-PBE.

Total magnetization: 0.00 Bohr magnetons per cell
Uncorrected energy: -43.55 eV for the cell shown
Relative energy among the computed polymorphs: 0.0000 eV/atom
Crystal system: tetragonal
Raw formation energy: 0.44 eV per formula unit

a b c (Å): 5.918 5.918 15.336
angles (deg): 90.00 90.00 90.00
Space group I-42d (No. 122)
Unique sites:
Cd  0.000  0.000  0.000
Te  0.203  0.250  0.625
S  0.000  0.000  0.500

***

Entry 12:
Here is a geometry-optimized Cd5TeS4 structure from Alexandria. Energies are from GGA-PBE.

Total magnetization: 0.00 Bohr magnetons per cell
Uncorrected energy: -60.10 eV for the cell shown
Relative energy among the computed polymorphs: 0.0000 eV/atom
Crystal system: tetragonal
Raw formation energy: -5.82 eV per formula unit

a b c (Å): 4.297 4.297 30.177
angles (deg): 90.00 90.00 90.00
Space group I-4m2 (No. 119)
Unique sites:
Cd  0.000  0.000  0.000
Cd  0.000  0.000  0.190
Cd  0.000  0.000  0.405
Te  0.000  0.500  0.250
S  0.000  0.500  0.047
S  0.000  0.500  0.642

***

Entry 13:
Here is a geometry-optimized VCd2TeS structure from Alexandria. Energies are from GGA-PBE.

Total magnetization: 3.47 Bohr magnetons per cell
Uncorrected energy: -14.42 eV for the cell shown
Crystal system: tetragonal
Raw formation energy: 3.80 eV per formula unit

a b c (Å): 5.539 5.539 5.181
angles (deg): 90.00 90.00 90.00
Space group P4/mmm (No. 123)
Unique sites:
V  0.000  0.000  0.000
Cd  0.000  0.500  0.500
Te  0.000  0.000  0.500
S  0.500  0.500  0.000

***

Entry 14:
Here is a geometry-optimized ThCdS structure from Alexandria. Energies are from GGA-PBE.

Total magnetization: 0.00 Bohr magnetons per cell
Uncorrected energy: -92.34 eV for the cell shown
Crystal system: trigonal
Raw formation energy: -2.93 eV per formula unit

a b c (Å): 4.7515 4.7515 23.8623
angles (deg): 90.00 90.00 120.00
Space group R-3m (No. 166, hexagonal axes)
Unique sites:
Th  0.0000  0.0000  0.0906
Cd  0.0000  0.0000  0.3438
S  0.0000  0.0000  0.2102

***

Entry 15:
Here is a geometry-optimized ThTl2CdS4 structure from Alexandria. Energies are from GGA-PBE.

Total magnetization: 0.00 Bohr magnetons per cell
Uncorrected energy: -37.62 eV for the cell shown
Crystal system: monoclinic
Raw formation energy: -8.04 eV per formula unit

a b c (Å): 6.936 4.131 7.985
angles (deg): 90.00 108.55 90.00
Space group P2/m (No. 10)
Unique sites:
Th  0.000  0.000  0.000
Tl  0.000  0.500  0.500
Tl  0.500  0.000  0.500
Cd  0.500  0.500  0.000
S  0.225  0.500  0.209
S  0.269  0.000  0.805

***

Entry 16:
Here is a geometry-optimized Ti2CdS2 structure from Alexandria. Energies are from GGA-PBE.

Total magnetization: 0.00 Bohr magnetons per cell
Uncorrected energy: -56.58 eV for the cell shown
Relative energy among the computed polymorphs: 0.1385 eV/atom
Crystal system: tetragonal
Raw formation energy: -3.33 eV per formula unit

a b c (Å): 7.227 7.227 3.072
angles (deg): 90.00 90.00 90.00
Space group P4/mbm (No. 127)
Unique sites:
Ti  0.147  0.353  0.000
Cd  0.000  0.000  0.500
S  0.140  0.640  0.500

***

Entry 17:
Here is a geometry-optimized TiCd3S structure from Alexandria. Energies are from GGA-PBE.

Total magnetization: 0.01 Bohr magnetons per cell
Uncorrected energy: -9.98 eV for the cell shown
Relative energy among the computed polymorphs: 0.2612 eV/atom
Crystal system: cubic
Raw formation energy: 4.79 eV per formula unit

a b c (Å): 5.374 5.374 5.374
angles (deg): 90.00 90.00 90.00
Space group Pm-3m (No. 221)
Unique sites:
Ti  0.000  0.000  0.000
Cd  0.000  0.000  0.500
S  0.500  0.500  0.500

***

Entry 18:
Here is a geometry-optimized Ti2CdS2 structure from Alexandria. Energies are from GGA-PBE.

Total magnetization: 0.00 Bohr magnetons per cell
Uncorrected energy: -57.96 eV for the cell shown
Relative energy among the computed polymorphs: 0.0000 eV/atom
Crystal system: tetragonal
Raw formation energy: -4.02 eV per formula unit

a b c (Å): 4.295 4.295 10.410
angles (deg): 90.00 90.00 90.00
Space group I4/mmm (No. 139)
Unique sites:
Ti  0.000  0.500  0.250
Cd  0.000  0.000  0.000
S  0.000  0.000  0.351

***

Entry 19:
Here is a geometry-optimized TiCd3S structure from Alexandria. Energies are from GGA-PBE.

Total magnetization: 2.65 Bohr magnetons per cell
Uncorrected energy: -11.29 eV for the cell shown
Relative energy among the computed polymorphs: 0.0000 eV/atom
Crystal system: cubic
Raw formation energy: 3.48 eV per formula unit

a b c (Å): 5.098 5.098 5.098
angles (deg): 90.00 90.00 90.00
Space group Pm-3m (No. 221)
Unique sites:
Ti  0.000  0.000  0.000
Cd  0.000  0.500  0.500
S  0.500  0.500  0.500

***

Entry 20:
Here is a geometry-optimized Ti3CdS structure from Alexandria. Energies are from GGA-PBE.

Total magnetization: 0.00 Bohr magnetons per cell
Uncorrected energy: -30.76 eV for the cell shown
Relative energy among the computed polymorphs: 0.0000 eV/atom
Crystal system: cubic
Raw formation energy: -2.03 eV per formula unit

a b c (Å): 4.521 4.521 4.521
angles (deg): 90.00 90.00 90.00
Space group Pm-3m (No. 221)
Unique sites:
Ti  0.000  0.000  0.500
Cd  0.500  0.500  0.500
S  0.000  0.000  0.000

***

Entry 21:
Here is a geometry-optimized Ti3CdS structure from Alexandria. Energies are from GGA-PBE.

Total magnetization: 4.00 Bohr magnetons per cell
Uncorrected energy: -22.78 eV for the cell shown
Relative energy among the computed polymorphs: 1.5967 eV/atom
Crystal system: cubic
Raw formation energy: 5.95 eV per formula unit

a b c (Å): 5.006 5.006 5.006
angles (deg): 90.00 90.00 90.00
Space group Pm-3m (No. 221)
Unique sites:
Ti  0.000  0.000  0.500
Cd  0.000  0.000  0.000
S  0.500  0.500  0.500

***

Entry 22:
Here is a geometry-optimized TiTlCd2S structure from Alexandria. Energies are from GGA-PBE.

Total magnetization: 1.36 Bohr magnetons per cell
Uncorrected energy: -16.25 eV for the cell shown
Crystal system: tetragonal
Raw formation energy: -0.03 eV per formula unit

a b c (Å): 5.582 5.582 4.586
angles (deg): 90.00 90.00 90.00
Space group P4/mmm (No. 123)
Unique sites:
Ti  0.000  0.000  0.000
Tl  0.500  0.500  0.500
Cd  0.000  0.500  0.000
S  0.000  0.000  0.500

***

Entry 23:
Here is a geometry-optimized TiTl2CdS4 structure from Alexandria. Energies are from GGA-PBE.

Total magnetization: 0.00 Bohr magnetons per cell
Uncorrected energy: -71.82 eV for the cell shown
Crystal system: monoclinic
Raw formation energy: -5.86 eV per formula unit

a b c (Å): 9.783 9.930 6.920
angles (deg): 90.00 134.97 90.00
Space group C2 (No. 5)
Unique sites:
Ti  0.000  0.000  0.000
Tl  0.000  0.500  0.000
Tl  0.000  0.750  0.500
Cd  0.000  0.250  0.500
S  0.165  0.119  0.936
S  0.229  0.881  0.393

***

Entry 24:
Here is a geometry-optimized Tl6CdS4 structure from Alexandria. Energies are from GGA-PBE.

Total magnetization: 0.00 Bohr magnetons per cell
Uncorrected energy: -70.62 eV for the cell shown
Crystal system: hexagonal
Raw formation energy: -3.69 eV per formula unit

a b c (Å): 10.4407 10.4407 7.1185
angles (deg): 90.00 90.00 120.00
Space group P6_3mc (No. 186)
Unique sites:
Tl  0.0676  0.5338  0.0000
Tl  0.1539  0.3078  0.3327
Cd  0.3333  0.6667  0.6253
S  0.1962  0.3924  0.7408
S  0.3333  0.6667  0.2585